Material: BaTe2Pb
Method: DFT, PBEsol
State: relaxed

Unit cell a=4.7531 b=4.7531 c=6.8058 alpha=90.00 beta=90.00 gamma=90.00
Last column: nearest neighbours and their distance in Å.
Atoms (fractional coordinates):
Pb 0.5000 0.5000 0.9003  5 Te 3.09-3.37
Te 0.0000 0.0000 0.8738  4 Pb 3.37, 2 Ba 3.39-3.42
Te 0.5000 0.5000 0.3541  1 Pb 3.09, 4 Ba 3.36
Ba 0.0000 0.0000 0.3717  6 Te 3.36-3.42

Summary:
Calculated volume = 153.8 Å³/cell
Formation energy (no corrections) = -1012 meV per atom
ρ = 6.48 g/cm3
Symmetry = P4mm, No. 99
Total energy = -17.25 eV per formula unit